The following is a DFT calculation (GGA-PBE) of a geometry-optimized Ce2Zn15Ir2 structure.

Summary:
The symmetry is R-3m. As for the formation energy: -0.256 eV/atom. The size of the total moment is 0.6 μB per formula unit.

a = 6.7988 Å, b = 6.7988 Å, c = 6.7988 Å
α = 83.80°, β = 83.80°, γ = 83.80°
Last column: nearest neighbours and their distance in Å.
Element x y z (fractional)
Ce 0.1682 0.1682 0.1682  1 Ir 2.76
Ce 0.8318 0.8318 0.8318  1 Ir 2.76
Zn 0.0000 0.5000 0.5000  8 Zn 2.55-2.65, 2 Ir 2.69
Zn 0.1475 0.1475 0.6560  8 Zn 2.61-2.79, 1 Ir 2.79
Zn 0.1475 0.6560 0.1475  8 Zn 2.61-2.79, 1 Ir 2.79
Zn 0.2188 0.5000 0.7812  8 Zn 2.55-2.79
Zn 0.2188 0.7812 0.5000  8 Zn 2.55-2.79
Zn 0.3440 0.8525 0.8525  8 Zn 2.61-2.79, 1 Ir 2.79
Zn 0.5000 0.0000 0.5000  8 Zn 2.55-2.65, 2 Ir 2.69
Zn 0.5000 0.2188 0.7812  8 Zn 2.55-2.79
Zn 0.5000 0.5000 0.0000  8 Zn 2.55-2.65, 2 Ir 2.69
Zn 0.5000 0.7812 0.2188  8 Zn 2.55-2.79
Zn 0.6560 0.1475 0.1475  8 Zn 2.61-2.79, 1 Ir 2.79
Zn 0.7812 0.2188 0.5000  8 Zn 2.55-2.79
Zn 0.7812 0.5000 0.2188  8 Zn 2.55-2.79
Zn 0.8525 0.3440 0.8525  8 Zn 2.61-2.79, 1 Ir 2.79
Zn 0.8525 0.8525 0.3440  8 Zn 2.61-2.79, 1 Ir 2.79
Ir 0.3811 0.3811 0.3811  12 Zn 2.69-2.98, 1 Ce 2.76
Ir 0.6189 0.6189 0.6189  12 Zn 2.69-2.98, 1 Ce 2.76

The following is a DFT calculation (GGA-PBE) of a geometry-optimized RbSeS2N structure.

Summary:
The symmetry is P4/mmm. The energy relative to the elements, uncorrected is 0.61 eV per atom. The distance to the lowest polymorph of the same formula is 0 meV per atom. The size of the total moment is 1.9 μB per formula unit.

a = 5.0683 Å, b = 5.0683 Å, c = 4.2831 Å
α = 90.00°, β = 90.00°, γ = 90.00°
Last column: nearest neighbours and their distance in Å.
Element x y z (fractional)
Rb 0.0000 0.0000 0.0000  8 S 3.32, 4 N 3.58
Se 0.5000 0.5000 0.5000  2 N 2.14
S 0.0000 0.5000 0.5000  2 Se 2.53
S 0.5000 0.0000 0.5000  2 Se 2.53
N 0.5000 0.5000 0.0000  2 Se 2.14

Among the records above, which one has the highest size of the total moment? RbSeS2N

What is the size of the total moment in the first record? 0.6 μB per formula unit

What did the first record say?
The following is a DFT calculation (GGA-PBE) of a geometry-optimized Ce2Zn15Ir2 structure.

Summary:
The symmetry is R-3m. As for the formation energy: -0.256 eV/atom. The size of the total moment is 0.6 μB per formula unit.

a = 6.7988 Å, b = 6.7988 Å, c = 6.7988 Å
α = 83.80°, β = 83.80°, γ = 83.80°
Last column: nearest neighbours and their distance in Å.
Element x y z (fractional)
Ce 0.1682 0.1682 0.1682  1 Ir 2.76
Ce 0.8318 0.8318 0.8318  1 Ir 2.76
Zn 0.0000 0.5000 0.5000  8 Zn 2.55-2.65, 2 Ir 2.69
Zn 0.1475 0.1475 0.6560  8 Zn 2.61-2.79, 1 Ir 2.79
Zn 0.1475 0.6560 0.1475  8 Zn 2.61-2.79, 1 Ir 2.79
Zn 0.2188 0.5000 0.7812  8 Zn 2.55-2.79
Zn 0.2188 0.7812 0.5000  8 Zn 2.55-2.79
Zn 0.3440 0.8525 0.8525  8 Zn 2.61-2.79, 1 Ir 2.79
Zn 0.5000 0.0000 0.5000  8 Zn 2.55-2.65, 2 Ir 2.69
Zn 0.5000 0.2188 0.7812  8 Zn 2.55-2.79
Zn 0.5000 0.5000 0.0000  8 Zn 2.55-2.65, 2 Ir 2.69
Zn 0.5000 0.7812 0.2188  8 Zn 2.55-2.79
Zn 0.6560 0.1475 0.1475  8 Zn 2.61-2.79, 1 Ir 2.79
Zn 0.7812 0.2188 0.5000  8 Zn 2.55-2.79
Zn 0.7812 0.5000 0.2188  8 Zn 2.55-2.79
Zn 0.8525 0.3440 0.8525  8 Zn 2.61-2.79, 1 Ir 2.79
Zn 0.8525 0.8525 0.3440  8 Zn 2.61-2.79, 1 Ir 2.79
Ir 0.3811 0.3811 0.3811  12 Zn 2.69-2.98, 1 Ce 2.76
Ir 0.6189 0.6189 0.6189  12 Zn 2.69-2.98, 1 Ce 2.76

Look up the size of the total moment of the first one. 0.6 μB per formula unit